Version w
Crystalline TaTiTc at its relaxed geometry, computed with PBE.

Geometry as POSCAR:
```
TaTiTc
1.0
4.311 0.000 0.000
0.000 4.339 0.000
0.000 0.000 6.125
Ta Ti Tc
2 2 2
Cartesian
0.000 0.000 0.000
2.155 2.169 3.062
0.000 0.000 3.066
2.155 2.169 0.003
0.000 2.169 1.531
2.155 0.000 4.593
```

Values from the calculation:
SG: Imm2
Total moment, Bohr magnetons per cell: 0.0
Density, g/cm3: 9.48

***

Version x
Crystalline TaTiTc at its relaxed geometry, computed with PBE.

Geometry as POSCAR:
```
TaTiTc
1.0
4.397 0.000 0.000
-2.199 3.808 0.000
0.000 0.000 2.919
Ta Ti Tc
1 1 1
Cartesian
0.000 0.000 0.000
2.199 1.269 1.156
0.000 2.539 2.045
```

Values from the calculation:
SG: P3m1
Total moment, Bohr magnetons per cell: 0.0
Density, g/cm3: 11.10

***

Version y
Crystalline TaTiTc at its relaxed geometry, computed with PBE.

Geometry as POSCAR:
```
TaTiTc
1.0
3.162 0.000 0.000
0.000 3.162 0.000
0.000 0.000 9.716
Ta Ti Tc
2 2 2
Cartesian
0.000 0.000 0.000
1.581 1.581 4.858
0.000 0.000 3.059
1.581 1.581 7.917
0.000 0.000 6.386
1.581 1.581 1.527
```

Values from the calculation:
SG: I4mm
Total moment, Bohr magnetons per cell: 0.0
Density, g/cm3: 11.17

***

Energy ordering: version y at the bottom, the next structure 0.086 eV/atom above.

***

Version w
Crystalline TaTiTcW at its relaxed geometry, computed with PBE.

Geometry as POSCAR:
```
TaTiTcW
1.0
6.360 0.000 0.000
0.000 6.360 0.000
0.000 0.000 6.360
Ta Ti Tc W
4 4 4 4
Cartesian
0.000 0.000 0.000
0.000 3.180 3.180
3.180 0.000 3.180
3.180 3.180 0.000
0.000 0.000 3.180
0.000 3.180 0.000
3.180 0.000 0.000
3.180 3.180 3.180
1.590 1.590 1.590
1.590 4.770 4.770
4.770 1.590 4.770
4.770 4.770 1.590
1.590 1.590 4.770
1.590 4.770 1.590
4.770 1.590 1.590
4.770 4.770 4.770
```

Values from the calculation:
SG: F-43m
Total moment, Bohr magnetons per cell: 0.0
Density, g/cm3: 13.19

***

Version x
Crystalline TaTiTcW at its relaxed geometry, computed with PBE.

Geometry as POSCAR:
```
TaTiTcW
1.0
2.906 0.000 0.000
0.000 2.984 0.000
0.000 0.000 8.013
Ta Ti Tc W
1 1 1 1
Cartesian
0.000 0.000 0.000
0.000 0.000 4.657
1.453 1.492 6.268
0.000 1.492 2.356
```

Values from the calculation:
SG: Pmm2
Total moment, Bohr magnetons per cell: 0.0
Density, g/cm3: 12.20

***

Energy ordering: version w at the bottom, the next structure 0.657 eV/atom above.